First-principles (GGA+U) data for a relaxed FeH8Cl2O4 crystal, as listed in Alexandria.

```
30
Lattice="5.843 0.000 0.000 0.000 7.603 0.000 -3.060 0.000 7.916" Properties=species:S:1:pos:R:3 pbc="T T T"
Fe 0.000 0.000 0.000
Fe -1.530 3.801 3.958
H -1.599 0.587 5.556
H -0.070 3.214 1.597
H -0.448 0.564 2.743
H -1.978 3.237 6.702
H 0.784 5.330 4.005
H 2.314 6.074 0.047
H 0.233 5.271 5.472
H 1.763 6.133 1.514
H 1.020 1.470 6.403
H 2.550 2.332 2.444
H 0.469 1.529 7.870
H 1.999 2.272 3.911
H 4.761 4.365 1.215
H 3.232 7.039 5.173
H 2.853 4.388 6.319
H 4.383 7.016 2.361
Cl -0.022 1.781 4.530
Cl 1.507 2.020 0.572
Cl 1.276 5.582 7.344
Cl 2.806 5.822 3.386
O -2.273 3.816 5.958
O -0.744 7.588 2.000
O -0.041 5.179 4.527
O 1.489 6.225 0.569
O 1.295 1.377 7.348
O 2.825 2.424 3.389
O 3.527 0.014 5.917
O 5.057 3.787 1.959
```

Total energy in eV per atom: -4.81
Total magnetic moment in μB per formula unit: 4.000